CuTe2Os: relaxed, GGA-PBE.

a = 5.9735 Å, b = 5.9735 Å, c = 7.2085 Å
α = 65.52°, β = 65.52°, γ = 90.00°
Sites, in units of the cell vectors:
Te: 0.6285 0.1250 0.2500
Te: 0.1215 0.6250 0.2500
Te: 0.3750 0.3715 0.7500
Te: 0.8750 0.8785 0.7500
Os: 0.0000 0.0000 0.0000
Os: 0.7500 0.2500 0.5000
Cu: 0.5000 0.5000 0.0000
Cu: 0.2500 0.7500 0.5000

Computed properties:
ΔE_f (raw) in eV per atom: 0.38
E above lowest polymorph in meV per atom: 73
Fermi-level density of states in states/eV/f.u.: 3.1
SG: I-42d (122)